Entry from the Alexandria database: a relaxed Sr2InHg2 crystal (PBE).

Values from the calculation:
- ΔE to the lowest computed polymorph (meV/atom) = 21
- DOS at the Fermi energy (states/eV per atom) = 0.848

Cell lengths 8.552, 8.552, 4.358 Å; angles 90.00, 90.00, 90.00 degrees
Space group P4/mbm (No. 127)
Unique sites:
Sr 0.176 0.324 0.000 [4 per cell]
In 0.000 0.000 0.500 [2 per cell]
Hg 0.126 0.626 0.500 [4 per cell]

=====

Entry from the Alexandria database: a relaxed Na8B11C5 crystal (PBE).

Values from the calculation:
- ΔE to the lowest computed polymorph (meV/atom) = 44
- DOS at the Fermi energy (states/eV per atom) = 0.180

Cell lengths 4.993, 8.564, 5.829 Å; angles 90.00, 90.07, 90.00 degrees
Space group Pm (No. 6)
Unique sites:
Na 0.000 0.247 0.000 [2 per cell]
Na 0.001 0.248 0.500 [2 per cell]
Na 0.500 0.251 0.251 [2 per cell]
Na 0.501 0.247 0.751 [2 per cell]
B 0.164 0.000 0.750 [1 per cell]
B 0.164 0.500 0.259 [1 per cell]
B 0.195 0.500 0.735 [1 per cell]
B 0.319 0.500 0.998 [1 per cell]
B 0.342 0.000 0.013 [1 per cell]
B 0.342 0.000 0.489 [1 per cell]
B 0.665 0.500 0.491 [1 per cell]
B 0.694 0.500 0.015 [1 per cell]
B 0.820 0.000 0.751 [1 per cell]
B 0.820 0.500 0.753 [1 per cell]
B 0.837 0.000 0.250 [1 per cell]
C 0.170 0.000 0.250 [1 per cell]
C 0.326 0.500 0.494 [1 per cell]
C 0.667 0.000 0.004 [1 per cell]
C 0.667 0.000 0.495 [1 per cell]
C 0.826 0.500 0.257 [1 per cell]

=====

Q: Which of these has the highest DOS at the Fermi energy?
A: Sr2InHg2

=====

Q: Which value of ΔE to the lowest computed polymorph does entry 2 give?
A: 44 meV/atom

=====

Q: Among the records above, which one has the highest DOS at the Fermi energy?
A: Sr2InHg2

=====

Please write out number 2 again, unchanged.
Entry from the Alexandria database: a relaxed Na8B11C5 crystal (PBE).

Values from the calculation:
- ΔE to the lowest computed polymorph (meV/atom) = 44
- DOS at the Fermi energy (states/eV per atom) = 0.180

Cell lengths 4.993, 8.564, 5.829 Å; angles 90.00, 90.07, 90.00 degrees
Space group Pm (No. 6)
Unique sites:
Na 0.000 0.247 0.000 [2 per cell]
Na 0.001 0.248 0.500 [2 per cell]
Na 0.500 0.251 0.251 [2 per cell]
Na 0.501 0.247 0.751 [2 per cell]
B 0.164 0.000 0.750 [1 per cell]
B 0.164 0.500 0.259 [1 per cell]
B 0.195 0.500 0.735 [1 per cell]
B 0.319 0.500 0.998 [1 per cell]
B 0.342 0.000 0.013 [1 per cell]
B 0.342 0.000 0.489 [1 per cell]
B 0.665 0.500 0.491 [1 per cell]
B 0.694 0.500 0.015 [1 per cell]
B 0.820 0.000 0.751 [1 per cell]
B 0.820 0.500 0.753 [1 per cell]
B 0.837 0.000 0.250 [1 per cell]
C 0.170 0.000 0.250 [1 per cell]
C 0.326 0.500 0.494 [1 per cell]
C 0.667 0.000 0.004 [1 per cell]
C 0.667 0.000 0.495 [1 per cell]
C 0.826 0.500 0.257 [1 per cell]